VASP calculation (PBE-GGA) on Nd3Ta5N12 after structural relaxation.

Output
energy relative to the elements, uncorrected: -24.61 kcal/mol of atoms
magnetization: 1.07 μB/f.u.

a b c (Å): 11.405 11.405 11.405
angles (deg): 109.47 109.47 109.47
Positions (direct):
Nd 0.750 0.375 0.125
Nd 0.875 0.750 0.125
Nd 0.375 0.750 0.625
Nd 0.250 0.125 0.375
Nd 0.875 0.125 0.250
Nd 0.375 0.625 0.250
Nd 0.625 0.375 0.750
Nd 0.125 0.875 0.750
Nd 0.750 0.875 0.625
Nd 0.625 0.250 0.375
Nd 0.125 0.250 0.875
Nd 0.250 0.625 0.875
Ta 0.125 0.375 0.250
Ta 0.000 0.500 0.000
Ta 0.000 0.000 0.000
Ta 0.375 0.250 0.125
Ta 0.500 0.000 0.500
Ta 0.500 0.500 0.000
Ta 0.125 0.750 0.375
Ta 0.750 0.125 0.875
Ta 0.750 0.625 0.375
Ta 0.375 0.125 0.750
Ta 0.625 0.875 0.250
Ta 0.500 0.500 0.500
Ta 0.500 0.000 0.000
Ta 0.000 0.000 0.500
Ta 0.250 0.375 0.625
Ta 0.250 0.875 0.125
Ta 0.000 0.500 0.500
Ta 0.875 0.250 0.625
Ta 0.625 0.750 0.875
Ta 0.875 0.625 0.750
N 0.699 0.117 0.020
N 0.321 0.520 0.403
N 0.980 0.383 0.301
N 0.520 0.199 0.117
N 0.582 0.699 0.679
N 0.980 0.597 0.179
N 0.321 0.801 0.418
N 0.097 0.918 0.117
N 0.597 0.980 0.679
N 0.699 0.582 0.179
N 0.801 0.480 0.383
N 0.821 0.903 0.020
N 0.117 0.699 0.520
N 0.383 0.403 0.082
N 0.082 0.903 0.383
N 0.418 0.117 0.597
N 0.082 0.179 0.199
N 0.480 0.679 0.097
N 0.821 0.918 0.301
N 0.117 0.418 0.097
N 0.383 0.980 0.801
N 0.597 0.617 0.418
N 0.903 0.821 0.520
N 0.801 0.321 0.918
N 0.403 0.383 0.582
N 0.097 0.179 0.480
N 0.199 0.679 0.082
N 0.179 0.082 0.699
N 0.617 0.020 0.199
N 0.883 0.582 0.903
N 0.520 0.321 0.903
N 0.582 0.883 0.403
N 0.918 0.821 0.801
N 0.918 0.097 0.617
N 0.883 0.301 0.480
N 0.179 0.097 0.980
N 0.617 0.597 0.918
N 0.403 0.020 0.321
N 0.301 0.418 0.821
N 0.199 0.520 0.617
N 0.903 0.082 0.883
N 0.679 0.199 0.582
N 0.480 0.801 0.883
N 0.020 0.403 0.821
N 0.418 0.301 0.321
N 0.020 0.617 0.699
N 0.679 0.480 0.597
N 0.301 0.883 0.980

VASP calculation (PBE-GGA) on Nd5TaN8 after structural relaxation.

Output
energy relative to the elements, uncorrected: -18.28 kcal/mol of atoms
magnetization: 0.00 μB/f.u.

a b c (Å): 6.353 6.353 6.353
angles (deg): 107.91 112.64 107.91
Positions (direct):
Nd 0.008 0.379 0.121
Nd 0.879 0.887 0.258
Nd 0.742 0.621 0.629
Nd 0.500 0.000 0.500
Nd 0.371 0.113 0.992
Ta 0.250 0.500 0.750
N 0.145 0.727 0.018
N 0.982 0.127 0.708
N 0.837 0.289 0.434
N 0.566 0.403 0.855
N 0.452 0.597 0.163
N 0.582 0.873 0.855
N 0.292 0.273 0.418
N 0.145 0.711 0.548

VASP calculation (PBE-GGA) on Nd2TaN after structural relaxation.

Output
energy relative to the elements, uncorrected: 0.48 kcal/mol of atoms
magnetization: 1.00 μB/f.u.

a b c (Å): 3.362 3.362 9.384
angles (deg): 79.68 79.68 60.00
Positions (direct):
N 0.500 0.500 0.500
Nd 0.113 0.113 0.661
Nd 0.887 0.887 0.339
Ta 0.000 0.000 0.000

VASP calculation (PBE-GGA) on Nd2Ta2N5 after structural relaxation.

Output
energy relative to the elements, uncorrected: -28.35 kcal/mol of atoms
magnetization: 0.00 μB/f.u.

a b c (Å): 4.226 6.053 5.877
angles (deg): 110.90 90.00 110.43
Positions (direct):
Nd 0.391 0.782 0.675
Nd 0.609 0.218 0.325
Ta 0.154 0.307 0.883
Ta 0.846 0.693 0.117
N 0.349 0.699 0.086
N 0.651 0.301 0.914
N 0.158 0.317 0.560
N 0.842 0.683 0.440
N 0.000 0.000 0.000

VASP calculation (PBE-GGA) on NdTa4N8 after structural relaxation.

Output
energy relative to the elements, uncorrected: -19.82 kcal/mol of atoms
magnetization: 0.00 μB/f.u.

a b c (Å): 3.185 7.690 7.543
angles (deg): 80.66 77.81 78.05
Positions (direct):
Nd 0.617 0.892 0.875
Ta 0.368 0.831 0.433
Ta 0.870 0.477 0.784
Ta 0.164 0.515 0.158
Ta 0.659 0.191 0.491
N 0.139 0.334 0.388
N 0.547 0.688 0.218
N 0.472 0.335 0.722
N 0.855 0.703 0.586
N 0.839 0.992 0.329
N 0.228 0.653 0.890
N 0.166 0.026 0.641
N 0.781 0.384 0.054

VASP calculation (PBE-GGA) on Nd3Ta2N7 after structural relaxation.

Output
energy relative to the elements, uncorrected: -22.08 kcal/mol of atoms
magnetization: 0.00 μB/f.u.

a b c (Å): 3.826 4.152 10.679
angles (deg): 101.21 90.00 90.00
Positions (direct):
Nd 0.500 0.500 0.000
Nd 0.500 0.685 0.370
Nd 0.500 0.315 0.630
Ta 0.000 0.905 0.811
Ta 0.000 0.095 0.189
N 0.000 0.404 0.808
N 0.000 0.767 0.534
N 0.000 0.000 0.000
N 0.000 0.596 0.192
N 0.500 0.119 0.239
N 0.500 0.881 0.761
N 0.000 0.233 0.466